# 1
Density functional theory data (PBE) for crystalline Ta4Os3Pt2 at its relaxed geometry.

abc: 3.9981 4.9063 8.4849
angles: 74.56 90.03 65.98
Fractional positions:
1 Ta 0.0170 0.9660 0.3377
2 Ta 0.9830 0.0340 0.6623
3 Ta 0.6613 0.6773 0.8898
4 Ta 0.3387 0.3227 0.1102
5 Os 0.0000 0.0000 0.0000
6 Os 0.6606 0.6788 0.5534
7 Os 0.3394 0.3212 0.4466
8 Pt 0.6720 0.6558 0.2262
9 Pt 0.3280 0.3442 0.7738

Values from the calculation:
* DOS(E_F): 0.691 states/eV/atom
* energy relative to the elements: -343 meV per atom
* volume: 16.2 Å³/atom
* size of the total moment: 0.00 μB/cell
* E_tot: -10.696 eV per atom

=====

# 2
Density functional theory data (PBE) for crystalline TaOsPt2 at its relaxed geometry.

abc: 4.5008 4.5008 4.5008
angles: 60.00 60.00 60.00
Fractional positions:
1 Ta 0.0000 0.0000 0.0000
2 Os 0.5000 0.5000 0.5000
3 Pt 0.2500 0.2500 0.2500
4 Pt 0.7500 0.7500 0.7500

Values from the calculation:
* DOS(E_F): 1.826 states/eV/atom
* energy relative to the elements: 43 meV per atom
* volume: 16.1 Å³/atom
* size of the total moment: 0.00 μB/cell
* E_tot: -8.748 eV per atom

=====

# 3
Density functional theory data (PBE) for crystalline TaOsPt2 at its relaxed geometry.

abc: 3.3641 3.3641 5.6588
angles: 90.00 90.00 90.00
Fractional positions:
1 Pt 0.0000 0.0000 0.9996
2 Pt 0.5000 0.5000 0.2493
3 Ta 0.0000 0.0000 0.5006
4 Os 0.5000 0.5000 0.7505

Values from the calculation:
* DOS(E_F): 0.966 states/eV/atom
* energy relative to the elements: -248 meV per atom
* volume: 16.0 Å³/atom
* size of the total moment: 0.00 μB/cell
* E_tot: -9.039 eV per atom

=====

# 4
Density functional theory data (PBE) for crystalline TaOsPt at its relaxed geometry.

abc: 4.5196 4.5196 2.7261
angles: 90.00 90.00 120.00
Fractional positions:
1 Ta 0.6667 0.3333 0.6132
2 Os 0.0000 0.0000 0.9570
3 Pt 0.3333 0.6667 0.4298

Values from the calculation:
* DOS(E_F): 0.362 states/eV/atom
* energy relative to the elements: -166 meV per atom
* volume: 16.1 Å³/atom
* size of the total moment: 0.00 μB/cell
* E_tot: -9.874 eV per atom

=====

# 5
Density functional theory data (PBE) for crystalline TaOsPt2 at its relaxed geometry.

abc: 3.8147 3.8147 9.7502
angles: 78.72 78.72 90.00
Fractional positions:
1 Pt 0.3750 0.3670 0.7500
2 Pt 0.6330 0.1250 0.2500
3 Pt 0.1170 0.6250 0.2500
4 Pt 0.8750 0.8830 0.7500
5 Os 0.7500 0.2500 0.5000
6 Os 0.0000 0.0000 0.0000
7 Ta 0.5000 0.5000 0.0000
8 Ta 0.2500 0.7500 0.5000

Values from the calculation:
* DOS(E_F): 0.851 states/eV/atom
* energy relative to the elements: 45 meV per atom
* volume: 17.0 Å³/atom
* size of the total moment: 0.00 μB/cell
* E_tot: -8.746 eV per atom

=====

# 6
Density functional theory data (PBE) for crystalline Ta2OsPt2 at its relaxed geometry.

abc: 2.9236 3.7625 7.8668
angles: 76.16 90.00 90.00
Fractional positions:
1 Ta 0.5000 0.4001 0.1998
2 Ta 0.5000 0.5999 0.8002
3 Os 0.0000 0.0000 0.0000
4 Pt 0.0000 0.1857 0.6286
5 Pt 0.0000 0.8143 0.3714

Values from the calculation:
* DOS(E_F): 0.698 states/eV/atom
* energy relative to the elements: -388 meV per atom
* volume: 16.8 Å³/atom
* size of the total moment: 0.00 μB/cell
* E_tot: -9.791 eV per atom